Density functional theory data (GGA-PBE) for an optimized crystal structure of K2YTlSe.

Output
DFT total energy in Ry per atom: -0.1988
Uncorrected formation energy in eV/atom: 0.20
Magnetization in Bohr magnetons per cell: 0.00

Unit cell a=6.1699 b=6.1699 c=5.8363 alpha=90.00 beta=90.00 gamma=90.00
With the nearest neighbours (Å) after each atom.
Space group P4/mmm (No. 123)
Inequivalent atoms, fractional coordinates:
K 0.0000 0.5000 0.0000 x2  2 Tl 3.08
Y 0.0000 0.0000 0.5000 x1  2 Tl 2.92
Tl 0.0000 0.0000 0.0000 x1  2 Y 2.92, 4 K 3.08
Se 0.5000 0.5000 0.5000 x1  8 K 4.25, 4 Y 4.36